! La3TbPm2, optimized geometry, DFT GGA-PBE; values from VASP
! offset from the most stable computed form = 0.000 eV per atom
! formation energy from the elements = 17 meV per atom
&SYSTEM
  ibrav = 0, nat = 12, ntyp = 3
/
ATOMIC_SPECIES
La 138.91 La.upf
Tb 158.93 Tb.upf
Pm 145.00 Pm.upf
ATOMIC_POSITIONS crystal
La 0.750 0.123 0.583
La 0.250 0.877 0.417
La 0.750 0.625 0.250
La 0.250 0.375 0.750
La 0.250 0.372 0.085
La 0.750 0.628 0.915
Tb 0.250 0.876 0.750
Tb 0.750 0.124 0.250
Pm 0.250 0.373 0.416
Pm 0.750 0.627 0.584
Pm 0.750 0.121 0.917
Pm 0.250 0.879 0.083
CELL_PARAMETERS angstrom
3.683 0.000 0.000
0.000 10.341 1.222
0.000 -1.235 10.977


! HgPt2Br, optimized geometry, DFT GGA-PBE; values from VASP
! offset from the most stable computed form = 0.323 eV per atom
! E_form (uncorrected) = 0.467 eV/atom
&SYSTEM
  ibrav = 0, nat = 4, ntyp = 3
/
ATOMIC_SPECIES
Br 79.90 Br.upf
Hg 200.59 Hg.upf
Pt 195.08 Pt.upf
ATOMIC_POSITIONS crystal
Br 0.500 0.500 0.250
Hg 0.500 0.500 0.750
Pt 0.000 0.000 0.973
Pt 0.000 0.000 0.527
CELL_PARAMETERS angstrom
3.361 0.000 0.000
0.000 3.361 0.000
0.000 0.000 6.847


! In2Ir2Pb, optimized geometry, DFT GGA-PBE; values from VASP
! formation energy from the elements = 142 meV per atom
&SYSTEM
  ibrav = 0, nat = 5, ntyp = 3
/
ATOMIC_SPECIES
Pb 207.20 Pb.upf
Ir 192.22 Ir.upf
In 114.82 In.upf
ATOMIC_POSITIONS crystal
Pb 0.000 0.000 0.000
Ir 0.393 0.393 0.215
Ir 0.607 0.607 0.785
In 0.750 0.250 0.500
In 0.250 0.750 0.500
CELL_PARAMETERS angstrom
-2.628 -1.941 -2.851
2.831 -3.261 -0.390
-2.559 -5.435 2.762


! Ac2MgInTe5, optimized geometry, DFT GGA-PBE; values from VASP
! E_form (uncorrected) = -1.067 eV/atom
&SYSTEM
  ibrav = 0, nat = 18, ntyp = 4
/
ATOMIC_SPECIES
Ac 227.00 Ac.upf
Mg 24.30 Mg.upf
In 114.82 In.upf
Te 127.60 Te.upf
ATOMIC_POSITIONS crystal
Ac 0.864 0.728 0.804
Ac 0.114 0.228 0.687
Ac 0.136 0.272 0.304
Ac 0.886 0.772 0.187
Mg 0.793 0.586 0.514
Mg 0.207 0.414 0.014
In 0.550 0.100 0.961
In 0.450 0.900 0.461
Te 0.359 0.718 0.998
Te 0.689 0.378 0.855
Te 0.493 0.987 0.766
Te 0.286 0.573 0.658
Te 0.948 0.896 0.581
Te 0.641 0.282 0.498
Te 0.311 0.622 0.355
Te 0.507 0.013 0.266
Te 0.714 0.427 0.158
Te 0.052 0.104 0.081
CELL_PARAMETERS angstrom
4.685 0.000 0.000
-2.343 9.604 0.000
0.000 0.000 13.610


! PmSiRu2C, optimized geometry, DFT GGA-PBE; values from VASP
! E_form (uncorrected) = -0.589 eV/atom
&SYSTEM
  ibrav = 0, nat = 10, ntyp = 4
/
ATOMIC_SPECIES
Pm 145.00 Pm.upf
Si 28.09 Si.upf
Ru 101.07 Ru.upf
C 12.01 C.upf
ATOMIC_POSITIONS crystal
Pm 0.450 0.901 0.750
Pm 0.550 0.099 0.250
Si 0.729 0.458 0.750
Si 0.271 0.542 0.250
Ru 0.165 0.329 0.942
Ru 0.835 0.671 0.058
Ru 0.165 0.329 0.558
Ru 0.835 0.671 0.442
C 0.000 0.000 0.000
C 0.000 0.000 0.500
CELL_PARAMETERS angstrom
-2.509 -1.488 -2.601
5.194 -2.750 -0.501
-2.124 -4.895 4.849


! EuY2Th, optimized geometry, DFT GGA-PBE; values from VASP
! offset from the most stable computed form = 0.060 eV per atom
! formation energy from the elements = 192 meV per atom
&SYSTEM
  ibrav = 0, nat = 4, ntyp = 3
/
ATOMIC_SPECIES
Eu 151.96 Eu.upf
Y 88.91 Y.upf
Th 232.04 Th.upf
ATOMIC_POSITIONS crystal
Eu 0.000 0.000 0.000
Y 0.250 0.250 0.250
Y 0.750 0.750 0.750
Th 0.500 0.500 0.500
CELL_PARAMETERS angstrom
5.770 0.000 0.000
2.885 4.997 0.000
2.885 1.666 4.711


So what do the calculations give for DOS(E_F)? Going down the list: 20.93 4.39 2.22 3.93 7.13 7.08 states/eV per cell.
So what do the calculations give for total DFT energy (no corrections)? Going down the list: -4.8018 -3.0467 -5.2397 -4.2071 -8.1790 -7.4633 eV per atom.